Entry 1:
Below is LiAlCo2 at its PBEsol-relaxed geometry, with properties calculated at the SCAN level.

Values from the calculation:
Energy of formation from the pure elements (kJ/mol of formula units): -31
Spin magnetization (μB per cell): 2.87
Crystal system: monoclinic
Space group: C2/m (12)
Calculated total energy (eV/atom): -11.268

Lattice parameters (Å, degrees): 4.5436 4.5436 2.5075 98.16 98.16 114.72
Sites, in units of the cell vectors:
Li (0.0000, 0.0000, 0.0000)
Al (0.5000, 0.5000, 0.0000)
Co (0.0000, 0.5000, 0.5000)
Co (0.5000, 0.0000, 0.5000)

Entry 2:
Below is Li6La3Sb2O12 at its PBEsol-relaxed geometry, with properties calculated at the SCAN level.

Values from the calculation:
Spin magnetization (μB per cell): 0.01
Uncorrected formation energy (eV per atom): -2.50
Crystal system: cubic
Space group: Ia-3 (206)
Calculated total energy (eV/atom): -15.239

Lattice parameters (Å, degrees): 11.1635 11.1635 11.1635 109.47 109.47 109.47
Sites, in units of the cell vectors:
Li (0.0092, 0.1101, 0.7784)
Li (0.1009, 0.4908, 0.2692)
Li (0.1101, 0.7784, 0.0092)
Li (0.1684, 0.7692, 0.2784)
Li (0.2216, 0.9908, 0.8899)
Li (0.2308, 0.7216, 0.8316)
Li (0.2692, 0.1009, 0.4908)
Li (0.2784, 0.1684, 0.7692)
Li (0.3316, 0.6101, 0.6009)
Li (0.3899, 0.3991, 0.6684)
Li (0.3991, 0.6684, 0.3899)
Li (0.4908, 0.2692, 0.1009)
Li (0.5092, 0.7308, 0.8991)
Li (0.6009, 0.3316, 0.6101)
Li (0.6101, 0.6009, 0.3316)
Li (0.6684, 0.3899, 0.3991)
Li (0.7216, 0.8316, 0.2308)
Li (0.7308, 0.8991, 0.5092)
Li (0.7692, 0.2784, 0.1684)
Li (0.7784, 0.0092, 0.1101)
Li (0.8316, 0.2308, 0.7216)
Li (0.8899, 0.2216, 0.9908)
Li (0.8991, 0.5092, 0.7308)
Li (0.9908, 0.8899, 0.2216)
La (0.1159, 0.2500, 0.3659)
La (0.1341, 0.3841, 0.7500)
La (0.2500, 0.3659, 0.1159)
La (0.2500, 0.8659, 0.6159)
La (0.3659, 0.1159, 0.2500)
La (0.3841, 0.7500, 0.1341)
La (0.6159, 0.2500, 0.8659)
La (0.6341, 0.8841, 0.7500)
La (0.7500, 0.1341, 0.3841)
La (0.7500, 0.6341, 0.8841)
La (0.8659, 0.6159, 0.2500)
La (0.8841, 0.7500, 0.6341)
Sb (0.0000, 0.0000, 0.0000)
Sb (0.0000, 0.0000, 0.5000)
Sb (0.0000, 0.5000, 0.0000)
Sb (0.0000, 0.5000, 0.5000)
Sb (0.5000, 0.0000, 0.0000)
Sb (0.5000, 0.0000, 0.5000)
Sb (0.5000, 0.5000, 0.0000)
Sb (0.5000, 0.5000, 0.5000)
O (0.0164, 0.3207, 0.9037)
O (0.0334, 0.2110, 0.1208)
O (0.0830, 0.8873, 0.4037)
O (0.0874, 0.6208, 0.4098)
O (0.0902, 0.7110, 0.6776)
O (0.0963, 0.9836, 0.6793)
O (0.1127, 0.5963, 0.9170)
O (0.1208, 0.0334, 0.2110)
O (0.1776, 0.4666, 0.5874)
O (0.1793, 0.1957, 0.5830)
O (0.1957, 0.5830, 0.1793)
O (0.2110, 0.1208, 0.0334)
O (0.2890, 0.3224, 0.9098)
O (0.3043, 0.4836, 0.3873)
O (0.3207, 0.9037, 0.0164)
O (0.3224, 0.9098, 0.2890)
O (0.3792, 0.5902, 0.9126)
O (0.3873, 0.3043, 0.4836)
O (0.4037, 0.0830, 0.8873)
O (0.4098, 0.0874, 0.6208)
O (0.4126, 0.8224, 0.5334)
O (0.4170, 0.8207, 0.8043)
O (0.4666, 0.5874, 0.1776)
O (0.4836, 0.3873, 0.3043)
O (0.5164, 0.6127, 0.6957)
O (0.5334, 0.4126, 0.8224)
O (0.5830, 0.1793, 0.1957)
O (0.5874, 0.1776, 0.4666)
O (0.5902, 0.9126, 0.3792)
O (0.5963, 0.9170, 0.1127)
O (0.6127, 0.6957, 0.5164)
O (0.6208, 0.4098, 0.0874)
O (0.6776, 0.0902, 0.7110)
O (0.6793, 0.0963, 0.9836)
O (0.6957, 0.5164, 0.6127)
O (0.7110, 0.6776, 0.0902)
O (0.7890, 0.8792, 0.9666)
O (0.8043, 0.4170, 0.8207)
O (0.8207, 0.8043, 0.4170)
O (0.8224, 0.5334, 0.4126)
O (0.8792, 0.9666, 0.7890)
O (0.8873, 0.4037, 0.0830)
O (0.9037, 0.0164, 0.3207)
O (0.9098, 0.2890, 0.3224)
O (0.9126, 0.3792, 0.5902)
O (0.9170, 0.1127, 0.5963)
O (0.9666, 0.7890, 0.8792)
O (0.9836, 0.6793, 0.0963)